(one)
VASP calculation (PBE) on a relaxed structure of TiPHO5.

crystal system	triclinic

abc: 5.253 5.292 7.489
angles: 106.37 108.89 97.88
Space group P-1 (No. 2)
Inequivalent atoms, fractional coordinates:
1 Ti 0.000 0.000 0.000 x1
2 Ti 0.500 0.500 0.500 x1
3 P 0.099 0.426 0.765 x2
4 H 0.348 0.989 0.313 x2
5 O 0.166 0.251 0.899 x2
6 O 0.178 0.729 0.894 x2
7 O 0.222 0.667 0.362 x2
8 O 0.259 0.379 0.624 x2
9 O 0.325 0.146 0.268 x2



(two)
VASP calculation (PBE) on a relaxed structure of TiPHO5.

crystal system	triclinic

abc: 5.021 6.043 6.645
angles: 74.21 87.11 86.88
Space group P-1 (No. 2)
Inequivalent atoms, fractional coordinates:
1 Ti 0.000 0.000 0.000 x1
2 Ti 0.000 0.500 0.500 x1
3 P 0.482 0.129 0.232 x2
4 H 0.292 0.154 0.679 x2
5 O 0.111 0.230 0.714 x2
6 O 0.192 0.177 0.150 x2
7 O 0.274 0.679 0.553 x2
8 O 0.315 0.818 0.966 x2
9 O 0.488 0.369 0.324 x2



(three)
VASP calculation (PBE) on a relaxed structure of TiPHO5.

crystal system	triclinic

abc: 5.385 5.982 6.352
angles: 97.76 112.25 97.85
Space group P-1 (No. 2)
Inequivalent atoms, fractional coordinates:
1 Ti 0.000 0.000 0.000 x1
2 Ti 0.500 0.500 0.500 x1
3 P 0.100 0.830 0.616 x2
4 H 0.459 0.215 0.821 x2
5 O 0.151 0.266 0.304 x2
6 O 0.179 0.794 0.192 x2
7 O 0.258 0.032 0.852 x2
8 O 0.298 0.649 0.647 x2
9 O 0.402 0.676 0.217 x2



(one) ends up most stable, edging out the next structure by 719 meV per atom.



(one)
VASP calculation (PBE) on a relaxed structure of TlPHO2.

crystal system	tetragonal

abc: 4.155 4.155 6.166
angles: 90.00 90.00 90.00
Space group P4/mmm (No. 123)
Inequivalent atoms, fractional coordinates:
1 Tl 0.000 0.000 0.000 x1
2 P 0.000 0.000 0.500 x1
3 H 0.500 0.500 0.500 x1
4 O 0.000 0.500 0.000 x2



(two)
VASP calculation (PBE) on a relaxed structure of TlPHO2.

crystal system	tetragonal

abc: 4.320 4.320 3.091
angles: 90.00 90.00 90.00
Space group P4/mmm (No. 123)
Inequivalent atoms, fractional coordinates:
1 Tl 0.000 0.000 0.000 x1
2 P 0.500 0.500 0.000 x1
3 H 0.500 0.500 0.500 x1
4 O 0.000 0.500 0.500 x2



(three)
VASP calculation (PBE) on a relaxed structure of TlPHO2.

crystal system	tetragonal

abc: 3.402 3.402 5.670
angles: 90.00 90.00 90.00
Space group P4/mmm (No. 123)
Inequivalent atoms, fractional coordinates:
1 Tl 0.000 0.000 0.000 x1
2 P 0.000 0.000 0.500 x1
3 H 0.500 0.500 0.000 x1
4 O 0.000 0.500 0.500 x2



(three) ends up most stable, edging out the next structure by 823 meV per atom.